A plane-wave DFT calculation with PBE with a Hubbard U was carried out for an optimized crystal structure of PuNiAgO5.

Summary:
- Volume: 12.61 A^3/atom
- Total energy: -112.7 eV for the cell shown
- Density: 8.1 g/cm3
- SG: C2/c (15)
- Total magnetization: 0.37 μB per atom

abc: 5.512 5.512 7.707
angles: 91.30 91.30 120.38
Site moments in Bohr magnetons follow the coordinates.
Atoms (fractional coordinates):
Ni  0.335  0.665  0.250  1.72
Ni  0.665  0.335  0.750  1.72
O  0.032  0.328  0.116  -0.07
O  0.788  0.595  0.542  -0.07
O  0.212  0.405  0.458  -0.07
O  0.328  0.032  0.616  -0.07
O  0.968  0.672  0.884  -0.07
O  0.405  0.212  0.958  -0.07
Pu  0.000  0.000  0.000  1.60
Ag  0.358  0.642  0.750  -0.02
O  0.672  0.968  0.384  -0.07
O  0.595  0.788  0.042  -0.07
O  0.876  0.124  0.750  -0.03
Pu  0.000  0.000  0.500  1.60
O  0.124  0.876  0.250  -0.03
Ag  0.642  0.358  0.250  -0.02